a) Material: Zr2CdCuI
Method: DFT, GGA-PBE
State: optimized geometry

Computed properties:
Magnetization (μB per cell): 0.000

Cell: 5.0023 5.0023 5.2890 Å, 90.00 90.00 90.00°
Space group P4/mmm (No. 123)
One atom of each set of equivalent atoms:
Zr 0.0000 0.5000 0.0000
Cd 0.0000 0.0000 0.5000
Cu 0.5000 0.5000 0.0000
I 0.5000 0.5000 0.5000

---

b) Material: Zr2CdCuI
Method: DFT, GGA-PBE
State: optimized geometry

Computed properties:
Magnetization (μB per cell): 0.000

Cell: 5.3018 5.3018 4.7554 Å, 90.00 90.00 90.00°
Space group P4/mmm (No. 123)
One atom of each set of equivalent atoms:
Zr 0.0000 0.5000 0.0000
Cd 0.0000 0.0000 0.5000
Cu 0.5000 0.5000 0.5000
I 0.5000 0.5000 0.0000

---

a) takes first place; second place is 17.3 kJ/mol of atoms up.

---

a) Material: CdIn3Cu8
Method: DFT, GGA-PBE
State: optimized geometry

Computed properties:
Magnetization (μB per cell): 0.000

Cell: 5.0626 5.0626 24.6036 Å, 90.00 90.00 120.00°
Space group R3m (No. 160, hexagonal axes)
One atom of each set of equivalent atoms:
Cd 0.0000 0.0000 0.0000
In 0.0000 0.0000 0.3714
In 0.0000 0.0000 0.4976
In 0.0000 0.0000 0.8765
Cu 0.0000 0.0000 0.1863
Cu 0.0000 0.0000 0.6864
Cu 0.0005 0.5003 0.4365
Cu 0.1671 0.3341 0.2695

---

b) Material: CdIn3Cu8
Method: DFT, GGA-PBE
State: optimized geometry

Computed properties:
Magnetization (μB per cell): 0.000

Cell: 5.0843 5.0843 8.1230 Å, 90.00 90.00 120.00°
Space group P3m1 (No. 156)
One atom of each set of equivalent atoms:
Cd 0.0000 0.0000 0.0000
In 0.0000 0.0000 0.3747
In 0.6667 0.3333 0.5068
In 0.6667 0.3333 0.8904
Cu 0.1648 0.3296 0.6926
Cu 0.3333 0.6667 0.4440
Cu 0.3333 0.6667 0.9427
Cu 0.5013 0.0026 0.1942

---

a) takes first place; second place is 1.1 kJ/mol of atoms up.

---

a) Material: Cd2InCu2
Method: DFT, GGA-PBE
State: optimized geometry

Computed properties:
Magnetization (μB per cell): 0.000

Cell: 8.0956 8.0956 2.8953 Å, 90.00 90.00 90.00°
Space group P4/mbm (No. 127)
One atom of each set of equivalent atoms:
Cd 0.1291 0.3709 0.0000
In 0.0000 0.0000 0.0000
Cu 0.1689 0.6689 0.5000

---

b) Material: Cd2InCu2
Method: DFT, GGA-PBE
State: optimized geometry

Computed properties:
Magnetization (μB per cell): 0.000

Cell: 3.3869 3.3869 17.9034 Å, 90.00 90.00 90.00°
Space group I4/mmm (No. 139)
One atom of each set of equivalent atoms:
Cd 0.0000 0.0000 0.1265
In 0.0000 0.0000 0.5000
Cu 0.0000 0.5000 0.2500

---

b) takes first place; second place is 0.6 kJ/mol of atoms up.

---

a) Material: Cd2InCu2
Method: DFT, GGA-PBE
State: optimized geometry

Computed properties:
Magnetization (μB per cell): 0.000

Cell: 7.8917 7.8917 3.0005 Å, 90.00 90.00 90.00°
Space group P4/mbm (No. 127)
One atom of each set of equivalent atoms:
Cd 0.1779 0.3221 0.0000
In 0.0000 0.0000 0.5000
Cu 0.1149 0.6149 0.5000

---

b) Material: Cd2InCu2
Method: DFT, GGA-PBE
State: optimized geometry

Computed properties:
Magnetization (μB per cell): 0.000

Cell: 4.0252 4.0252 12.4440 Å, 90.00 90.00 90.00°
Space group I4/mmm (No. 139)
One atom of each set of equivalent atoms:
Cd 0.0000 0.5000 0.2500
In 0.0000 0.0000 0.0000
Cu 0.0000 0.0000 0.4044

---

c) Material: Cd2InCu2
Method: DFT, GGA-PBE
State: optimized geometry

Computed properties:
Magnetization (μB per cell): 0.000

Cell: 4.5017 4.5017 5.4443 Å, 90.00 90.00 120.00°
Space group P-3m1 (No. 164)
One atom of each set of equivalent atoms:
Cd 0.3333 0.6667 0.3675
In 0.0000 0.0000 0.0000
Cu 0.3333 0.6667 0.8688

---

c) takes first place; second place is 7.1 kJ/mol of atoms up.

---

a) Material: Cd3InCu
Method: DFT, GGA-PBE
State: optimized geometry

Computed properties:
Magnetization (μB per cell): 0.000

Cell: 5.0558 5.0558 5.0558 Å, 90.00 90.00 90.00°
Space group Pm-3m (No. 221)
One atom of each set of equivalent atoms:
Cd 0.0000 0.0000 0.5000
In 0.5000 0.5000 0.5000
Cu 0.0000 0.0000 0.0000

---

b) Material: Cd3InCu
Method: DFT, GGA-PBE
State: optimized geometry

Computed properties:
Magnetization (μB per cell): 0.000

Cell: 10.6776 8.0820 7.1133 Å, 90.00 130.68 90.00°
Space group C2/m (No. 12)
One atom of each set of equivalent atoms:
Cd 0.0649 0.0000 0.2604
Cd 0.2091 0.1842 0.7546
In 0.0708 0.5000 0.3463
Cu 0.2436 0.5000 0.8719

---

b) takes first place; second place is 8.5 kJ/mol of atoms up.

---

a) Material: NaCdIn2Cu
Method: DFT, GGA-PBE
State: optimized geometry

Computed properties:
Magnetization (μB per cell): 0.000

Cell: 5.0142 5.0142 5.3873 Å, 90.00 90.00 90.00°
Space group P4/mmm (No. 123)
One atom of each set of equivalent atoms:
Na 0.0000 0.0000 0.0000
Cd 0.5000 0.5000 0.0000
In 0.0000 0.5000 0.5000
Cu 0.0000 0.0000 0.5000

---

b) Material: NaCdIn2Cu
Method: DFT, GGA-PBE
State: optimized geometry

Computed properties:
Magnetization (μB per cell): 0.000

Cell: 5.1007 5.1007 5.1121 Å, 90.00 90.00 90.00°
Space group P4/mmm (No. 123)
One atom of each set of equivalent atoms:
Na 0.0000 0.0000 0.0000
Cd 0.5000 0.5000 0.0000
In 0.0000 0.5000 0.5000
Cu 0.5000 0.5000 0.5000

---

b) takes first place; second place is 5.6 kJ/mol of atoms up.